(1)
This record from Alexandria describes a relaxed structure of Ca2WSe. The functional is PBE.

Lattice parameters (Å, degrees): 4.170 4.170 6.253 90.00 90.00 90.00
Each line ends with the local moment (μB).
Fractional coordinates of all 4 atoms:
Ca  0.000  0.000  0.943  0.07
Ca  0.500  0.500  0.314  0.04
Se  0.000  0.000  0.432  0.05
W  0.500  0.500  0.811  2.64

Computed properties:
The volume comes out at 108.7 Å³/cell. The crystal system is tetragonal. As for the uncorrected formation energy: 0.42 eV per atom. Its space group is P4mm (99). The magnetic moment is 3.75 μB per cell.



(2)
This record from Alexandria describes a relaxed structure of AlSiBr2. The functional is PBE.

Lattice parameters (Å, degrees): 8.956 8.956 8.956 23.11 23.11 23.11
Fractional coordinates of all 4 atoms:
Si  0.250  0.250  0.250
Al  0.750  0.750  0.750
Br  0.997  0.997  0.997
Br  0.503  0.503  0.503

Computed properties:
The volume comes out at 97.1 Å³/cell. The crystal system is trigonal. As for the uncorrected formation energy: 0.24 eV per atom. Its space group is R-3m (166). For the energy above the most stable polymorph in this dataset, the calculation gives 575 meV per atom. The magnetic moment is 0.00 μB per cell.



(3)
This record from Alexandria describes a relaxed structure of CaTlCr2. The functional is PBE.

Lattice parameters (Å, degrees): 3.303 3.303 7.598 90.00 90.00 90.00
Each line ends with the local moment (μB).
Fractional coordinates of all 4 atoms:
Cr  0.000  0.000  0.073  2.85
Cr  0.500  0.500  0.199  -2.71
Tl  0.000  0.000  0.458  0.04
Ca  0.500  0.500  0.771  0.06

Computed properties:
The volume comes out at 82.9 Å³/cell. The crystal system is tetragonal. Its space group is P4mm (99). For the energy above the most stable polymorph in this dataset, the calculation gives 0 meV per atom. The magnetic moment is 0.53 μB per cell.



(4)
This record from Alexandria describes a relaxed structure of Al2PCl. The functional is PBE.

Lattice parameters (Å, degrees): 6.773 6.773 5.503 54.06 54.06 27.17
Fractional coordinates of all 4 atoms:
P  0.321  0.321  0.264
Al  0.982  0.982  0.165
Al  0.663  0.663  0.633
Cl  0.534  0.534  0.437

Computed properties:
The volume comes out at 91.9 Å³/cell. The crystal system is monoclinic. As for the uncorrected formation energy: -0.24 eV per atom. Its space group is Cm (8). For the energy above the most stable polymorph in this dataset, the calculation gives 77 meV per atom. The magnetic moment is 0.00 μB per cell.



(5)
This record from Alexandria describes a relaxed structure of ZnPt2F2. The functional is PBE.

Lattice parameters (Å, degrees): 3.435 3.435 8.533 78.39 78.39 90.00
Fractional coordinates of all 5 atoms:
Zn  0.000  0.000  0.000
Pt  0.750  0.250  0.500
Pt  0.250  0.750  0.500
F  0.428  0.428  0.144
F  0.572  0.572  0.856

Computed properties:
The volume comes out at 96.5 Å³/cell. The crystal system is tetragonal. As for the uncorrected formation energy: -0.07 eV per atom. Its space group is I4/mmm (139). For the energy above the most stable polymorph in this dataset, the calculation gives 68 meV per atom. The magnetic moment is 0.00 μB per cell.



(6)
This record from Alexandria describes a relaxed structure of LaDyYLu. The functional is PBE.

Lattice parameters (Å, degrees): 5.714 5.714 5.714 60.00 60.00 60.00
Fractional coordinates of all 4 atoms:
Y  0.250  0.250  0.250
Lu  0.750  0.750  0.750
La  0.000  0.000  0.000
Dy  0.500  0.500  0.500

Computed properties:
The volume comes out at 131.9 Å³/cell. The crystal system is cubic. Its space group is F-43m (216). The magnetic moment is 0.00 μB per cell.



(7)
This record from Alexandria describes a relaxed structure of Sm2Tc3W. The functional is PBE.

Lattice parameters (Å, degrees): 5.579 5.579 5.404 90.20 120.96 119.90
Fractional coordinates of all 6 atoms:
Sm  0.750  0.375  0.125
Sm  0.250  0.625  0.875
Tc  0.500  0.500  0.500
Tc  0.000  0.000  0.500
Tc  0.500  0.000  0.500
W  0.000  0.000  0.000

Computed properties:
The volume comes out at 117.2 Å³/cell. The crystal system is monoclinic. Its space group is C2/m (12). The magnetic moment is 0.00 μB per cell.



(8)
This record from Alexandria describes a relaxed structure of LaNdDyCd. The functional is PBE.

Lattice parameters (Å, degrees): 3.740 3.740 8.947 90.00 90.00 90.00
Fractional coordinates of all 4 atoms:
La  0.000  0.000  0.079
Nd  0.500  0.500  0.791
Dy  0.500  0.500  0.355
Cd  0.000  0.000  0.560

Computed properties:
The volume comes out at 125.1 Å³/cell. The crystal system is tetragonal. Its space group is P4mm (99). For the energy above the most stable polymorph in this dataset, the calculation gives 0 meV per atom. The magnetic moment is 0.00 μB per cell.



(9)
This record from Alexandria describes a relaxed structure of VH3Pt. The functional is PBE.

Lattice parameters (Å, degrees): 3.384 3.384 3.384 90.00 90.00 90.00
Each line ends with the local moment (μB).
Fractional coordinates of all 5 atoms:
H  0.000  0.500  0.000  0.00
H  0.000  0.000  0.500  0.00
H  0.500  0.000  0.000  0.00
Pt  0.500  0.500  0.500  -0.02
V  0.000  0.000  0.000  0.48

Computed properties:
The volume comes out at 38.8 Å³/cell. The crystal system is cubic. Its space group is Pm-3m (221). The magnetic moment is 0.51 μB per cell.



(10)
This record from Alexandria describes a relaxed structure of TbHo5Tm3. The functional is PBE.

Lattice parameters (Å, degrees): 9.126 10.338 7.160 110.25 90.00 116.19
Fractional coordinates of all 18 atoms:
Tb  0.700  0.000  0.750
Tb  0.300  0.000  0.250
Ho  0.335  0.000  0.750
Ho  0.517  0.673  0.835
Ho  0.844  0.327  0.162
Ho  0.483  0.327  0.165
Ho  0.517  0.673  0.338
Ho  0.665  0.000  0.250
Ho  0.156  0.673  0.335
Ho  0.844  0.327  0.665
Ho  0.483  0.327  0.662
Ho  0.156  0.673  0.838
Tm  0.000  0.000  0.000
Tm  0.818  0.633  0.566
Tm  0.000  0.000  0.500
Tm  0.182  0.367  0.434
Tm  0.815  0.633  0.066
Tm  0.185  0.367  0.934

Computed properties:
The volume comes out at 559.3 Å³/cell. The crystal system is orthorhombic. Its space group is Imma (74). For the energy above the most stable polymorph in this dataset, the calculation gives 0 meV per atom. The magnetic moment is 0.00 μB per cell.



(11)
This record from Alexandria describes a relaxed structure of LiYSbIr. The functional is PBE.

Lattice parameters (Å, degrees): 4.716 4.716 4.716 60.00 60.00 60.00
Fractional coordinates of all 4 atoms:
Y  0.750  0.750  0.750
Sb  0.250  0.250  0.250
Ir  0.500  0.500  0.500
Li  0.000  0.000  0.000

Computed properties:
The volume comes out at 74.1 Å³/cell. The crystal system is cubic. As for the uncorrected formation energy: -0.74 eV per atom. Its space group is F-43m (216). The magnetic moment is 0.00 μB per cell.



(12)
This record from Alexandria describes a relaxed structure of PaCr4Sn. The functional is PBE.

Lattice parameters (Å, degrees): 5.120 5.120 5.120 60.00 60.00 60.00
Fractional coordinates of all 6 atoms:
Cr  0.625  0.625  0.126
Cr  0.625  0.126  0.625
Cr  0.625  0.625  0.625
Cr  0.126  0.625  0.625
Pa  0.250  0.250  0.250
Sn  0.000  0.000  0.000

Computed properties:
The volume comes out at 94.9 Å³/cell. The crystal system is cubic. Its space group is F-43m (216). The magnetic moment is 0.00 μB per cell.



(13)
This record from Alexandria describes a relaxed structure of Ba2HfBi2. The functional is PBE.

Lattice parameters (Å, degrees): 8.317 8.317 5.287 90.00 90.00 90.00
Fractional coordinates of all 10 atoms:
Hf  0.000  0.000  0.000
Hf  0.500  0.500  0.000
Bi  0.340  0.840  0.000
Bi  0.840  0.660  0.000
Bi  0.660  0.160  0.000
Bi  0.160  0.340  0.000
Ba  0.155  0.655  0.500
Ba  0.655  0.845  0.500
Ba  0.845  0.345  0.500
Ba  0.345  0.155  0.500

Computed properties:
The volume comes out at 365.7 Å³/cell. The crystal system is tetragonal. Its space group is P4/mbm (127). The magnetic moment is 0.00 μB per cell.



(14)
This record from Alexandria describes a relaxed structure of Pm4In3. The functional is PBE.

Lattice parameters (Å, degrees): 3.608 8.006 8.828 118.97 101.79 90.00
Fractional coordinates of all 7 atoms:
Pm  0.084  0.448  0.167
Pm  0.916  0.552  0.833
Pm  0.368  0.102  0.737
Pm  0.632  0.898  0.263
In  0.000  0.000  0.000
In  0.234  0.305  0.467
In  0.766  0.695  0.533

Computed properties:
The volume comes out at 217.0 Å³/cell. The crystal system is monoclinic. Its space group is C2/m (12). For the energy above the most stable polymorph in this dataset, the calculation gives 94 meV per atom. The magnetic moment is 0.00 μB per cell.



(15)
This record from Alexandria describes a relaxed structure of NbTlGeSb2. The functional is PBE.

Lattice parameters (Å, degrees): 5.445 5.039 5.445 90.00 90.00 90.00
Each line ends with the local moment (μB).
Fractional coordinates of all 5 atoms:
Sb  0.000  0.000  0.500  -0.05
Sb  0.500  0.000  0.000  -0.08
Tl  0.500  0.500  0.500  0.02
Ge  0.000  0.000  0.000  -0.03
Nb  0.000  0.500  0.000  1.82

Computed properties:
The volume comes out at 149.4 Å³/cell. The crystal system is tetragonal. As for the uncorrected formation energy: 0.77 eV per atom. Its space group is P4/mmm (123). The magnetic moment is 2.11 μB per cell.



(16)
This record from Alexandria describes a relaxed structure of LiCe2Dy. The functional is PBE.

Lattice parameters (Å, degrees): 3.266 3.266 12.486 82.49 82.49 60.00
Each line ends with the local moment (μB).
Fractional coordinates of all 4 atoms:
Li  0.000  0.000  0.000  0.00
Ce  0.087  0.087  0.740  0.58
Ce  0.913  0.913  0.260  0.58
Dy  0.500  0.500  0.500  0.00

Computed properties:
The volume comes out at 114.0 Å³/cell. The crystal system is trigonal. Its space group is R-3m (166). For the energy above the most stable polymorph in this dataset, the calculation gives 37 meV per atom. The magnetic moment is 1.49 μB per cell.



Record order is preserved below.
Total energy: -4.6932; -2.8884; -5.6239; -3.9237; -3.4869; -5.0306; -8.9023; -3.9497; -4.7849; -4.4127; -6.0818; -8.3957; -4.6799; -4.1229; -4.2903; -4.3571 eV/atom